#P
{"formula": "KBaNa", "functional": "PBE", "state": "relaxed", "volume_a3_per_cell": 349.4, "m_tot_mub_per_cell": 0.00, "sg": "P4/nmm (129)", "lattice_angstrom": [[4.4851, 0.0000, 0.0000], [0.0000, 4.4851, 0.0000], [0.0000, 0.0000, 17.3713]], "species": ["K", "K", "Ba", "Ba", "Na", "Na"], "frac_coords": [[0.2500, 0.2500, 0.1044], [0.7500, 0.7500, 0.8956], [0.2500, 0.2500, 0.4038], [0.7500, 0.7500, 0.5962], [0.2500, 0.2500, 0.7444], [0.7500, 0.7500, 0.2556]]}


#Q
{"formula": "KBaNa", "functional": "PBE", "state": "relaxed", "volume_a3_per_cell": 172.9, "m_tot_mub_per_cell": 0.00, "sg": "I4mm (107)", "lattice_angstrom": [[-2.1979, 2.1979, 8.9480], [2.1979, -2.1979, 8.9480], [2.1979, 2.1979, -8.9480]], "species": ["K", "Ba", "Na"], "frac_coords": [[0.0000, 0.0000, 0.0000], [0.6995, 0.6995, 0.0000], [0.3480, 0.3480, 0.0000]]}


How far above the most stable structure does each one sit? In kJ/mol of atoms: #P 0.0; #Q 3.4.


#P
{"formula": "KBaNa", "functional": "PBE", "state": "relaxed", "volume_a3_per_cell": 194.0, "m_tot_mub_per_cell": 0.00, "sg": "F-43m (216)", "lattice_angstrom": [[0.0000, 4.5943, 4.5943], [4.5943, 0.0000, 4.5943], [4.5943, 4.5943, 0.0000]], "species": ["K", "Ba", "Na"], "frac_coords": [[0.0000, 0.0000, 0.0000], [0.5000, 0.5000, 0.5000], [0.7500, 0.7500, 0.7500]]}


#Q
{"formula": "KBaNa", "functional": "PBE", "state": "relaxed", "volume_a3_per_cell": 175.0, "m_tot_mub_per_cell": 0.00, "sg": "P3m1 (156)", "lattice_angstrom": [[4.3944, 0.0000, 0.0000], [-2.1972, 3.8056, 0.0000], [0.0000, 0.0000, 10.4640]], "species": ["K", "Ba", "Na"], "frac_coords": [[0.0000, 0.0000, 0.0000], [0.3333, 0.6667, 0.6294], [0.6667, 0.3333, 0.3237]]}


How far above the most stable structure does each one sit? In kJ/mol of atoms: #P 12.6; #Q 0.0.


#P
{"formula": "KBaNa6", "functional": "PBE", "state": "relaxed", "volume_a3_per_cell": 358.5, "m_tot_mub_per_cell": 0.00, "sg": "Pmm2 (25)", "lattice_angstrom": [[6.3876, 0.0000, 0.0000], [0.0000, 8.2492, 0.0000], [0.0000, 0.0000, 6.8038]], "species": ["K", "Ba", "Na", "Na", "Na", "Na", "Na", "Na"], "frac_coords": [[0.0000, 0.0000, 0.0000], [0.5000, 0.5000, 0.6756], [0.0000, 0.2447, 0.5101], [0.0000, 0.5000, 0.0719], [0.0000, 0.7553, 0.5101], [0.5000, 0.0000, 0.6309], [0.5000, 0.2471, 0.1767], [0.5000, 0.7529, 0.1767]]}


#Q
{"formula": "KBaNa6", "functional": "PBE", "state": "relaxed", "volume_a3_per_cell": 363.4, "m_tot_mub_per_cell": 0.00, "sg": "Amm2 (38)", "lattice_angstrom": [[6.3658, 0.0000, 0.0000], [0.0000, 4.1459, 6.8837], [0.0000, -4.1459, 6.8837]], "species": ["K", "Ba", "Na", "Na", "Na", "Na", "Na", "Na"], "frac_coords": [[0.0000, 0.0000, 0.0000], [0.5000, 0.6932, 0.6932], [0.0000, 0.0436, 0.4827], [0.0000, 0.4827, 0.0436], [0.0000, 0.5076, 0.5076], [0.5000, 0.1852, 0.1852], [0.5000, 0.2122, 0.6484], [0.5000, 0.6484, 0.2122]]}


How far above the most stable structure does each one sit? In kJ/mol of atoms: #P 0.0; #Q 0.8.